(1)
DFT (PBE-GGA) results for a relaxed Cd2SbF crystal.

abc: 4.5739 4.5739 20.8133
angles: 90.00 90.00 120.00
Space group R-3m (No. 166, hexagonal axes)
Symmetry-distinct sites (fractional):
Cd: 0.0000 0.0000 0.1042
Sb: 0.0000 0.0000 0.5000
F: 0.0000 0.0000 0.0000

## Properties
V: 377 Å³ per cell
Energy: -2.680 eV per atom
Density of states at the Fermi level: 0.86 states/eV/f.u.

---

(2)
DFT (PBE-GGA) results for a relaxed CdSbF2 crystal.

abc: 3.2600 3.2600 24.5944
angles: 90.00 90.00 120.00
Space group R-3m (No. 166, hexagonal axes)
Symmetry-distinct sites (fractional):
Cd: 0.0000 0.0000 0.0000
Sb: 0.0000 0.0000 0.5000
F: 0.0000 0.0000 0.4121

## Properties
V: 226 Å³ per cell
Energy: -3.559 eV per atom
Density of states at the Fermi level: 0.92 states/eV/f.u.

---

(3)
DFT (PBE-GGA) results for a relaxed CdSb2F8 crystal.

abc: 10.100 7.319 5.246
angles: 90.00 109.02 90.00
Space group C2/m (No. 12)
Symmetry-distinct sites (fractional):
Cd: 0.000 0.000 0.000
Sb: 0.166 0.500 0.304
F: 0.100 0.500 0.899
F: 0.142 0.000 0.725
F: 0.151 0.210 0.239

## Properties
V: 367 Å³ per cell
Energy: -4.507 eV per atom
Density of states at the Fermi level: 0.00 states/eV/f.u.

---

(4)
DFT (PBE-GGA) results for a relaxed Cd3SbF crystal.

abc: 5.710 5.710 5.710
angles: 90.00 90.00 90.00
Space group Pm-3m (No. 221)
Symmetry-distinct sites (fractional):
Cd: 0.000 0.000 0.500
Sb: 0.000 0.000 0.000
F: 0.500 0.500 0.500

## Properties
V: 186 Å³ per cell
Energy: -1.866 eV per atom
Density of states at the Fermi level: 1.05 states/eV/f.u.